Compound: NaLaHg2
Source: the Alexandria database
Functional: PBE
Structure: relaxed

The magnetization is 0.0 μB/f.u. Its excess energy over the best structure of this formula in the dataset is 0.181 eV/atom. The total energy is -1.9401 eV per atom. The formation energy comes out at -0.228 eV/atom. As for the calculated volume: 31.276 Å³ per atom.

The structure in POSCAR format:
```
NaLaHg2
1.0
4.360 0.000 0.000
2.180 3.776 0.000
2.180 1.259 7.598
Na Hg La
1 2 1
direct
0.000 0.000 0.000
0.256 0.256 0.233
0.744 0.744 0.767
0.500 0.500 0.500
```